(1)
Below is a geometry-optimized SrCaCd2Ga structure, with properties calculated at the GGA-PBE level.

Lattice parameters (Å, degrees): 6.020 6.020 6.870 90.00 90.00 90.00
Atoms (fractional coordinates):
Sr1 0.000 0.000 0.000
Ca1 0.000 0.000 0.500
Cd1 0.000 0.500 0.000
Cd2 0.500 0.000 0.000
Ga1 0.500 0.500 0.500

Output
Fermi-level density of states in states/eV/cell: 5.12
Calculated volume in Å³ per cell: 248.97
Symmetry: P4/mmm (123)

=====

(2)
Below is a geometry-optimized CaTbCdGa structure, with properties calculated at the GGA-PBE level.

Lattice parameters (Å, degrees): 5.238 5.238 5.238 60.00 60.00 60.00
Atoms (fractional coordinates):
Ca1 0.000 0.000 0.000
Tb1 0.500 0.500 0.500
Cd1 0.750 0.750 0.750
Ga1 0.250 0.250 0.250

Output
Fermi-level density of states in states/eV/cell: 1.82
Distance to the lowest polymorph of the same formula in kcal/mol of atoms: 0.16
Calculated volume in Å³ per cell: 101.65
Symmetry: F-43m (216)

=====

(3)
Below is a geometry-optimized CaTbCdGa structure, with properties calculated at the GGA-PBE level.

Lattice parameters (Å, degrees): 3.628 3.628 7.739 90.00 90.00 90.00
Atoms (fractional coordinates):
Ca1 0.000 0.000 0.000
Tb1 0.000 0.000 0.470
Cd1 0.500 0.500 0.732
Ga1 0.500 0.500 0.245

Output
Fermi-level density of states in states/eV/cell: 2.25
Distance to the lowest polymorph of the same formula in kcal/mol of atoms: 0.00
Calculated volume in Å³ per cell: 101.83
Symmetry: P4mm (99)

=====

(4)
Below is a geometry-optimized CaThCdGa structure, with properties calculated at the GGA-PBE level.

Lattice parameters (Å, degrees): 5.313 5.313 5.313 60.00 60.00 60.00
Atoms (fractional coordinates):
Ca1 0.000 0.000 0.000
Th1 0.500 0.500 0.500
Cd1 0.750 0.750 0.750
Ga1 0.250 0.250 0.250

Output
Fermi-level density of states in states/eV/cell: 3.65
Calculated volume in Å³ per cell: 106.05
Symmetry: F-43m (216)

=====

(5)
Below is a geometry-optimized CaTl2CdGa structure, with properties calculated at the GGA-PBE level.

Lattice parameters (Å, degrees): 5.952 5.952 5.881 90.00 90.00 90.00
Atoms (fractional coordinates):
Ca1 0.000 0.000 0.000
Tl1 0.000 0.500 0.000
Tl2 0.500 0.000 0.000
Cd1 0.000 0.000 0.500
Ga1 0.500 0.500 0.500

Output
Fermi-level density of states in states/eV/cell: 4.30
Calculated volume in Å³ per cell: 208.37
Symmetry: P4/mmm (123)

=====

(6)
Below is a geometry-optimized CaYCdGa structure, with properties calculated at the GGA-PBE level.

Lattice parameters (Å, degrees): 5.232 5.232 5.232 60.00 60.00 60.00
Atoms (fractional coordinates):
Ca1 0.000 0.000 0.000
Y1 0.500 0.500 0.500
Cd1 0.750 0.750 0.750
Ga1 0.250 0.250 0.250

Output
Fermi-level density of states in states/eV/cell: 1.86
Distance to the lowest polymorph of the same formula in kcal/mol of atoms: 0.24
Calculated volume in Å³ per cell: 101.29
Symmetry: F-43m (216)

=====

(7)
Below is a geometry-optimized CaYCdGa structure, with properties calculated at the GGA-PBE level.

Lattice parameters (Å, degrees): 3.628 3.628 7.713 90.00 90.00 90.00
Atoms (fractional coordinates):
Ca1 0.000 0.000 0.000
Y1 0.000 0.000 0.471
Cd1 0.500 0.500 0.731
Ga1 0.500 0.500 0.245

Output
Fermi-level density of states in states/eV/cell: 2.33
Distance to the lowest polymorph of the same formula in kcal/mol of atoms: 0.00
Calculated volume in Å³ per cell: 101.52
Symmetry: P4mm (99)

=====

(8)
Below is a geometry-optimized Ca2Zn4CdGa3 structure, with properties calculated at the GGA-PBE level.

Lattice parameters (Å, degrees): 4.290 4.290 11.015 90.00 90.00 90.00
Atoms (fractional coordinates):
Ca1 0.000 0.500 0.240
Ca2 0.500 0.000 0.760
Zn1 0.000 0.000 0.000
Zn2 0.000 0.500 0.645
Zn3 0.500 0.000 0.355
Zn4 0.500 0.500 0.000
Cd1 0.000 0.000 0.500
Ga1 0.000 0.500 0.870
Ga2 0.500 0.000 0.130
Ga3 0.500 0.500 0.500

Output
Fermi-level density of states in states/eV/cell: 3.92
Calculated volume in Å³ per cell: 202.77
Symmetry: P-4m2 (115)

=====

Number 1: ΔH_f (0 K) 783.5 meV/atom. Number 2: ΔH_f (0 K) -429.4 meV/atom. Number 3: ΔH_f (0 K) -436.6 meV/atom. Number 4: ΔH_f (0 K) -266.9 meV/atom. Number 5: ΔH_f (0 K) 563.2 meV/atom. Number 6: ΔH_f (0 K) -437.4 meV/atom. Number 7: ΔH_f (0 K) -447.6 meV/atom. Number 8: ΔH_f (0 K) -295.2 meV/atom.